# 1
The following is a GGA-PBE calculation of a relaxed BeReIr crystal, from Alexandria.

Lattice parameters (Å, degrees): 4.0581 4.0581 2.7042 90.00 90.00 120.00
Space group P-6m2 (No. 187)
Symmetry-distinct sites (fractional):
Be  0.0000  0.0000  0.0000 [1 per cell]
Re  0.6667  0.3333  0.5000 [1 per cell]
Ir  0.3333  0.6667  0.0000 [1 per cell]

Summary:
E above lowest polymorph	0.44	eV per formula unit
energy of formation from the pure elements	-171.1	meV per atom

=====

# 2
The following is a GGA-PBE calculation of a relaxed ReTcPt2 crystal, from Alexandria.

Lattice parameters (Å, degrees): 6.286 6.286 6.286 90.00 90.00 90.00
Space group Fm-3m (No. 225)
Symmetry-distinct sites (fractional):
Re  0.000  0.000  0.000 [4 per cell]
Tc  0.000  0.000  0.500 [4 per cell]
Pt  0.250  0.250  0.250 [8 per cell]

Summary:
E above lowest polymorph	2.20	eV per formula unit
energy of formation from the pure elements	412.5	meV per atom

=====

# 3
The following is a GGA-PBE calculation of a relaxed Li3TmTe3 crystal, from Alexandria.

Lattice parameters (Å, degrees): 7.8737 7.8737 21.5397 90.00 90.00 120.00
Space group R-3 (No. 148, hexagonal axes)
Symmetry-distinct sites (fractional):
Li  0.0073  0.6954  0.1209 [18 per cell]
Tm  0.0000  0.0000  0.3345 [6 per cell]
Te  0.0043  0.6443  0.9195 [18 per cell]

Summary:
E_form (uncorrected)	-1.146	eV/atom

=====

# 4
The following is a GGA-PBE calculation of a relaxed BaPd4Pb12 crystal, from Alexandria.

Lattice parameters (Å, degrees): 9.943 9.943 9.943 90.00 90.00 90.00
Space group Im-3 (No. 204)
Symmetry-distinct sites (fractional):
Ba  0.000  0.000  0.000 [2 per cell]
Pd  0.250  0.250  0.250 [8 per cell]
Pb  0.000  0.163  0.343 [24 per cell]

Summary:
energy of formation from the pure elements	-157.3	meV per atom

=====

# 5
The following is a GGA-PBE calculation of a relaxed CoSi2Sb crystal, from Alexandria.

Lattice parameters (Å, degrees): 3.2234 3.2234 22.6126 90.00 90.00 120.00
Space group R-3m (No. 166, hexagonal axes)
Symmetry-distinct sites (fractional):
Co  0.0000  0.0000  0.0000 [3 per cell]
Si  0.0000  0.0000  0.2731 [6 per cell]
Sb  0.0000  0.0000  0.5000 [3 per cell]

Summary:
E_form (uncorrected)	0.211	eV/atom

=====

# 6
The following is a GGA-PBE calculation of a relaxed Pm2Sn3Pd crystal, from Alexandria.

Lattice parameters (Å, degrees): 10.536 7.137 8.650 90.00 102.37 90.00
Space group C2/c (No. 15)
Symmetry-distinct sites (fractional):
Pm  0.162  0.153  0.138 [8 per cell]
Sn  0.000  0.160  0.750 [4 per cell]
Sn  0.140  0.376  0.529 [8 per cell]
Pd  0.000  0.464  0.250 [4 per cell]

Summary:
E above lowest polymorph	0.49	eV per formula unit
energy of formation from the pure elements	-646.1	meV per atom

=====

Across the entries above, theoretical density takes the values 16.7, 18.0, 4.9, 10.3, 5.8, 7.9 g cm⁻³, respectively.